First-principles (PBE) data for a relaxed Dy8PS6 crystal, as listed in the Alexandria database.

Structure (POSCAR):
```
Dy8PS6
1.0
-2.832 2.614 -1.006
4.482 1.493 -8.734
-6.879 -7.105 0.900
S P Dy
6 1 8
Direct
0.754 0.652 0.132 S
0.754 0.868 0.520 S
0.246 0.348 0.868 S
0.246 0.132 0.480 S
0.246 0.520 0.652 S
0.754 0.480 0.348 S
0.500 0.000 0.000 P
0.259 0.031 0.711 Dy
0.741 0.969 0.289 Dy
0.253 0.667 0.333 Dy
0.741 0.711 0.680 Dy
0.259 0.680 0.969 Dy
0.259 0.289 0.320 Dy
0.747 0.333 0.667 Dy
0.741 0.320 0.031 Dy
```

Mass density   7.4 g/cm³
Uncorrected formation energy   -1.507 eV per atom
DFT total energy   -5.973 eV/atom
Symmetry   No. 147